# Hg2IrPt

A relaxed Hg2IrPt crystal (GGA-PBE, the Alexandria database).

Lattice parameters (Å, degrees): 5.0326 5.0326 5.0326 130.68 130.68 72.33
Fractional positions:
Hg: 0.0000 0.0000 0.0000
Hg: 0.7500 0.2500 0.5000
Ir: 0.2500 0.7500 0.5000
Pt: 0.5000 0.5000 0.0000

- relative energy among the computed polymorphs (meV per atom) = 114
- crystal system = tetragonal
- E_form (eV/atom) = 0.4347

=====

# YLu2Hg

A relaxed YLu2Hg crystal (GGA-PBE, the Alexandria database).

Lattice parameters (Å, degrees): 3.5440 3.5440 8.8581 90.00 90.00 90.00
Fractional positions:
Y: 0.0000 0.0000 0.0000
Lu: 0.5000 0.5000 0.2800
Lu: 0.5000 0.5000 0.7200
Hg: 0.0000 0.0000 0.5000

- relative energy among the computed polymorphs (meV per atom) = 0
- crystal system = tetragonal
- E_form (eV/atom) = -0.2304

=====

# FeH2Cl

A relaxed FeH2Cl crystal (GGA-PBE, the Alexandria database).

Lattice parameters (Å, degrees): 5.1093 5.1093 5.1093 101.79 101.79 126.26
Fractional positions:
Fe: 0.0000 0.0000 0.0000
Fe: 0.7500 0.2500 0.5000
H: 0.3750 0.0843 0.2093
H: 0.8343 0.6250 0.7093
H: 0.8750 0.1657 0.7907
H: 0.9157 0.1250 0.2907
Cl: 0.2500 0.7500 0.5000
Cl: 0.5000 0.5000 0.0000

- relative energy among the computed polymorphs (meV per atom) = 0
- crystal system = tetragonal

=====

no.,total energy (eV/f.u.),spin magnetization (Bohr magnetons per cell)
1,-13.8,0.0
2,-16.7,0.0
3,-15.6,5.6